Entry 1:
A geometry-optimized NpNO structure. Source: the Alexandria database, functional PBE.

The space group is No. 216. For the formation energy from raw total energies, the calculation gives -2.019 eV per atom.

Geometry as extended XYZ:
```
3
Lattice="3.745 0.000 0.000 1.873 3.244 0.000 1.873 1.081 3.058" Properties=species:S:1:pos:R:3 pbc="T T T"
Np 1.873 1.081 0.765
O 0.000 0.000 0.000
N 3.745 2.162 1.529
```

Entry 2:
A geometry-optimized NpPaN2O structure. Source: the Alexandria database, functional PBE.

The space group is No. 129. For the formation energy from raw total energies, the calculation gives -1.885 eV per atom.

Geometry as extended XYZ:
```
10
Lattice="3.505 0.000 0.000 0.000 3.505 0.000 0.000 0.000 10.863" Properties=species:S:1:pos:R:3 pbc="T T T"
Np 1.752 0.000 1.162
Np 0.000 1.752 9.701
Pa 1.752 0.000 6.942
Pa 0.000 1.752 3.921
N 0.000 1.752 7.622
N 0.000 1.752 1.393
N 1.752 0.000 9.470
N 1.752 0.000 3.242
O 0.000 0.000 5.432
O 1.752 1.752 5.432
```

Entry 3:
A geometry-optimized PmNpN2O structure. Source: the Alexandria database, functional PBE.

The space group is No. 129. For the formation energy from raw total energies, the calculation gives -1.749 eV per atom.

Geometry as extended XYZ:
```
10
Lattice="3.740 0.000 0.000 0.000 3.740 0.000 0.000 0.000 10.921" Properties=species:S:1:pos:R:3 pbc="T T T"
Pm 1.870 0.000 6.744
Pm 0.000 1.870 4.176
Np 1.870 0.000 1.101
Np 0.000 1.870 9.820
N 0.000 1.870 7.981
N 0.000 1.870 0.881
N 1.870 0.000 10.040
N 1.870 0.000 2.939
O 0.000 0.000 5.460
O 1.870 1.870 5.460
```

Entry 4:
A geometry-optimized PrNpN2O structure. Source: the Alexandria database, functional PBE.

The space group is No. 129. For the formation energy from raw total energies, the calculation gives -1.707 eV per atom.

Geometry as extended XYZ:
```
10
Lattice="3.784 0.000 0.000 0.000 3.784 0.000 0.000 0.000 10.988" Properties=species:S:1:pos:R:3 pbc="T T T"
Pr 1.892 0.000 6.817
Pr 0.000 1.892 4.172
Np 1.892 0.000 1.085
Np 0.000 1.892 9.904
N 0.000 1.892 8.067
N 0.000 1.892 0.887
N 1.892 0.000 10.101
N 1.892 0.000 2.922
O 0.000 0.000 5.494
O 1.892 1.892 5.494
```

Entry 5:
A geometry-optimized Np2SeNO structure. Source: the Alexandria database, functional PBE.

The space group is No. 12. For the formation energy from raw total energies, the calculation gives -1.833 eV per atom.

Geometry as extended XYZ:
```
10
Lattice="-2.506 -2.942 -0.318 -1.402 -2.017 6.078 -7.004 3.316 0.884" Properties=species:S:1:pos:R:3 pbc="T T T"
Np -4.458 -1.849 4.964
Np -6.455 0.207 1.679
Np -2.972 -2.736 1.455
Np -7.940 1.093 5.189
Se -7.451 -1.830 4.733
Se -3.461 0.187 1.911
N -7.899 1.301 2.941
N -3.013 -2.944 3.703
O -5.962 2.386 1.278
O -4.950 -4.029 5.365
```

Entry 6:
A geometry-optimized Np2TeNO structure. Source: the Alexandria database, functional PBE.

The space group is No. 12. For the formation energy from raw total energies, the calculation gives -1.709 eV per atom.

Geometry as extended XYZ:
```
10
Lattice="3.922 0.000 0.000 1.961 6.128 0.153 1.961 1.237 8.185" Properties=species:S:1:pos:R:3 pbc="T T T"
Np 3.922 4.944 2.550
Np 3.922 2.421 5.787
Np 3.922 1.689 0.576
Np 3.922 5.676 7.762
Te 5.883 5.159 5.233
Te 1.961 2.207 3.105
N 3.922 3.415 7.744
N 3.922 3.951 0.593
O 1.961 1.706 6.733
O 5.883 5.659 1.604
```

Entry 7:
A geometry-optimized NpOsN structure. Source: the Alexandria database, functional PBE.

The space group is No. 107. For the formation energy from raw total energies, the calculation gives 0.558 eV per atom.

Geometry as extended XYZ:
```
3
Lattice="4.019 0.000 0.000 0.000 4.019 0.000 -2.009 -2.009 3.151" Properties=species:S:1:pos:R:3 pbc="T T T"
Np 2.009 2.009 2.705
Os 0.000 0.000 1.942
N 2.009 2.009 0.709
```

Entry 8:
A geometry-optimized Np3Os5N12 structure. Source: the Alexandria database, functional PBE.

The space group is No. 230. For the formation energy from raw total energies, the calculation gives -0.089 eV per atom.

Geometry as extended XYZ:
```
80
Lattice="-1.884 -0.426 -10.736 5.974 -8.624 2.988 -9.496 -0.120 5.366" Properties=species:S:1:pos:R:3 pbc="T T T"
Np -0.360 -3.568 -6.261
Np 1.645 -6.855 -6.482
Np -2.161 -6.703 1.569
Np -3.285 -1.230 -0.298
Np -3.276 -1.481 -7.679
Np 0.653 -5.580 -0.817
Np -6.060 -3.590 -1.565
Np -2.130 -7.689 5.297
Np -2.121 -7.940 -2.084
Np -3.245 -2.467 -3.951
Np -7.051 -2.314 4.100
Np -5.047 -5.602 3.879
Os -0.369 -3.317 1.120
Os 2.987 -4.312 1.494
Os 0.000 0.000 0.000
Os -0.400 -2.331 -2.608
Os -5.690 -0.273 -2.685
Os 2.045 -4.525 -3.874
Os 0.684 -6.566 2.911
Os -8.976 -1.502 -2.983
Os -1.241 -5.754 -4.172
Os -7.082 -1.328 0.372
Os 1.676 -7.842 -2.754
Os -2.703 -4.585 -1.191
Os -0.942 -0.213 -5.368
Os -4.748 -0.060 2.683
Os -4.166 -3.416 1.790
Os 3.569 -7.667 0.601
Os -1.761 -4.372 4.177
Os -6.090 -2.604 -5.293
Os -5.006 -6.839 0.226
Os -5.037 -5.853 -3.502
N -0.836 -1.372 -7.055
N -1.282 -4.723 0.279
N -2.393 -3.693 -7.747
N -0.946 -2.004 -4.372
N -3.328 -6.406 -0.488
N 0.041 -5.591 -7.711
N 0.164 -7.046 1.175
N 4.130 -7.984 2.362
N -1.752 -8.735 0.133
N 0.446 -5.330 -4.872
N -2.239 -4.470 -5.104
N 3.594 -8.133 -5.983
N -1.020 -6.193 3.598
N 0.927 -3.638 -2.402
N 1.667 -7.860 3.847
N -5.726 -1.319 -0.923
N -1.029 -1.599 0.765
N 2.232 -6.065 -2.535
N 1.140 -8.313 -4.488
N 1.342 -3.680 0.447
N -2.443 -8.654 3.140
N -1.380 -5.686 -2.304
N -1.789 -7.531 -4.408
N -8.308 -3.221 -2.645
N -4.026 -3.484 -0.078
N -3.617 -1.639 2.026
N 2.901 -5.949 0.263
N -6.546 -0.857 2.106
N -2.963 -0.516 -5.522
N -6.749 -5.490 -2.829
N -7.639 -3.105 0.153
N 0.320 -7.851 -1.459
N -4.377 -7.571 -3.147
N -7.073 -1.310 -6.228
N -4.387 -2.977 -5.980
N -9.000 -1.037 3.601
N -6.334 -5.532 0.020
N -3.654 -0.435 -2.515
N -5.852 -3.840 2.490
N -3.168 -4.700 2.722
N -9.537 -1.186 -4.744
N -5.571 -2.124 -3.557
N -4.461 -7.166 1.990
N -5.447 -3.578 5.329
N -2.078 -2.764 -1.894
N -3.014 -5.477 5.365
N -4.125 -4.447 -2.661
N -4.571 -7.798 4.673
```

Entry 9:
A geometry-optimized Np2OsN structure. Source: the Alexandria database, functional PBE.

The space group is No. 123. For the formation energy from raw total energies, the calculation gives -0.101 eV per atom.

Geometry as extended XYZ:
```
4
Lattice="3.099 0.000 0.000 0.000 3.099 0.000 0.000 0.000 6.701" Properties=species:S:1:pos:R:3 pbc="T T T"
Np 0.000 0.000 4.758
Np 0.000 0.000 1.944
Os 1.550 1.550 0.000
N 1.550 1.550 3.351
```

Entry 10:
A geometry-optimized NpPOsN structure. Source: the Alexandria database, functional PBE.

The space group is No. 129. For the formation energy from raw total energies, the calculation gives -0.828 eV per atom.

Geometry as extended XYZ:
```
8
Lattice="-2.778 2.589 1.160 -0.977 -2.397 3.010 5.200 3.555 4.517" Properties=species:S:1:pos:R:3 pbc="T T T"
Np 3.982 1.858 5.388
Np -0.659 1.793 1.214
P 2.040 3.639 3.559
P 1.283 0.012 3.044
Os 2.600 1.778 2.259
Os 0.723 1.874 4.344
N -1.877 0.096 2.085
N 0.000 0.000 0.000
```

Entry 11:
A geometry-optimized Pr2NpOs2N6 structure. Source: the Alexandria database, functional PBE.

The space group is No. 166. For the formation energy from raw total energies, the calculation gives -0.472 eV per atom.

Geometry as extended XYZ:
```
11
Lattice="5.725 0.000 0.000 2.863 4.958 0.000 2.863 1.653 5.839" Properties=species:S:1:pos:R:3 pbc="T T T"
Pr 8.588 4.958 3.696
Pr 2.863 1.653 2.143
Np 0.000 0.000 0.000
Os 5.725 3.306 4.795
Os 5.725 3.306 1.044
N 7.233 4.176 1.629
N 4.218 4.176 1.629
N 5.725 1.565 1.629
N 5.725 5.046 4.210
N 7.233 2.435 4.210
N 4.218 2.435 4.210
```

Entry 12:
A geometry-optimized NpSiOsN structure. Source: the Alexandria database, functional PBE.

The space group is No. 129. For the formation energy from raw total energies, the calculation gives -0.610 eV per atom.

Geometry as extended XYZ:
```
8
Lattice="-0.635 -2.457 -3.028 -2.999 -1.653 1.970 -5.053 5.302 -3.243" Properties=species:S:1:pos:R:3 pbc="T T T"
Np -5.742 3.626 -1.738
Np -1.127 -0.379 -2.034
Si -3.199 0.956 -0.106
Si -3.671 2.291 -3.667
Os -2.526 2.651 -1.622
Os -4.343 0.596 -2.151
N -4.786 3.461 -4.382
N -2.084 -0.213 0.610
```

Q: What is the formula in the second record?
A: NpPaN2O

Q: formation energy from raw total energies of number 5 (Np2SeNO)?
A: -1.833 eV per atom

Q: The highest formation energy from raw total energies belongs to which entry?
A: NpOsN